# 1
The following is a DFT calculation (PBEsol) of a relaxed SrTaZn2 crystal.

Summary:
VASP energy: -3.51 eV/atom
Total moment: 11.032 Bohr magnetons per cell
ΔE_f: 0.88 eV/atom

Cell: 6.8727 6.8727 6.8727 Å, 90.00 90.00 90.00°
With the nearest neighbours (Å) after each atom.
Space group F-43m (No. 216)
One atom of each set of equivalent atoms:
Sr 0.0000 0.0000 0.0000  4 Ta 2.98, 4 Zn 2.98
Ta 0.2500 0.2500 0.7500  4 Sr 2.98, 4 Zn 2.98
Zn 0.0000 0.0000 0.5000  4 Zn 2.98, 4 Ta 2.98
Zn 0.2500 0.2500 0.2500  4 Sr 2.98, 4 Zn 2.98

=====

# 2
The following is a DFT calculation (PBEsol) of a relaxed SrTaZn2 crystal.

Summary:
VASP energy: -3.73 eV/atom
Total moment: 1.736 Bohr magnetons per cell
ΔE_f: 0.66 eV/atom

Cell: 4.0888 4.0888 9.5678 Å, 90.00 90.00 90.00°
With the nearest neighbours (Å) after each atom.
Space group I-4m2 (No. 119)
One atom of each set of equivalent atoms:
Sr 0.0000 0.0000 0.0000  8 Zn 2.89-3.15, 4 Ta 3.15
Ta 0.0000 0.5000 0.2500  8 Zn 2.89-3.15, 4 Sr 3.15
Zn 0.0000 0.0000 0.5000  4 Sr 2.89, 4 Ta 3.15, 4 Zn 3.15
Zn 0.0000 0.5000 0.7500  4 Ta 2.89, 4 Sr 3.15, 4 Zn 3.15

=====

# 3
The following is a DFT calculation (PBEsol) of a relaxed Sr3TaZn crystal.

Summary:
VASP energy: -2.87 eV/atom
Total moment: 4.040 Bohr magnetons per cell
ΔE_f: 1.07 eV/atom

Cell: 5.7976 5.7976 5.7976 Å, 90.00 90.00 90.00°
With the nearest neighbours (Å) after each atom.
Space group Pm-3m (No. 221)
One atom of each set of equivalent atoms:
Sr 0.0000 0.0000 0.5000  2 Zn 2.90
Ta 0.5000 0.5000 0.5000  12 Sr 4.10
Zn 0.0000 0.0000 0.0000  6 Sr 2.90

=====

# 4
The following is a DFT calculation (PBEsol) of a relaxed SrZr2Ta crystal.

Summary:
VASP energy: -7.54 eV/atom
Total moment: 0.001 Bohr magnetons per cell
E above lowest polymorph: 156 meV/atom
ΔE_f: 0.61 eV/atom

Cell: 3.0876 5.8268 10.9416 Å, 90.00 90.00 90.00°
With the nearest neighbours (Å) after each atom.
Space group Immm (No. 71)
One atom of each set of equivalent atoms:
Sr 0.0000 0.0000 0.0000  2 Sr 3.09, 4 Ta 3.30
Zr 0.0000 0.5000 0.2169  2 Ta 2.83, 2 Zr 3.09
Ta 0.0000 0.0000 0.5000  4 Zr 2.83, 2 Ta 3.09

=====

# 5
The following is a DFT calculation (PBEsol) of a relaxed SrZrTa3 crystal.

Summary:
VASP energy: -7.20 eV/atom
Total moment: 0.000 Bohr magnetons per cell
ΔE_f: 2.52 eV/atom

Cell: 4.8133 4.8133 4.8133 Å, 90.00 90.00 90.00°
With the nearest neighbours (Å) after each atom.
Space group Pm-3m (No. 221)
One atom of each set of equivalent atoms:
Sr 0.0000 0.0000 0.0000  6 Ta 2.41
Zr 0.5000 0.5000 0.5000  12 Ta 3.40
Ta 0.0000 0.0000 0.5000  2 Sr 2.41

=====

# 6
The following is a DFT calculation (PBEsol) of a relaxed SrZr2Ta crystal.

Summary:
VASP energy: -7.69 eV/atom
Total moment: 0.001 Bohr magnetons per cell
E above lowest polymorph: 0 meV/atom
ΔE_f: 0.45 eV/atom

Cell: 3.6458 3.6458 7.7414 Å, 90.00 90.00 90.00°
With the nearest neighbours (Å) after each atom.
Space group P4mm (No. 99)
One atom of each set of equivalent atoms:
Sr 0.0000 0.0000 0.0000  4 Ta 3.45, 5 Zr 3.48-3.69, 4 Sr 3.65
Zr 0.0000 0.0000 0.4501  4 Ta 2.84, 4 Zr 3.04
Zr 0.5000 0.5000 0.6583  1 Ta 2.80, 4 Zr 3.04
Ta 0.5000 0.5000 0.2962  5 Zr 2.80-2.84

=====

# 7
The following is a DFT calculation (PBEsol) of a relaxed SrTc crystal.

Summary:
VASP energy: -5.67 eV/atom
Total moment: 0.005 Bohr magnetons per cell
E above lowest polymorph: 317 meV/atom
ΔE_f: 0.88 eV/atom

Cell: 5.3594 5.3594 11.2598 Å, 90.00 90.00 120.00°
With the nearest neighbours (Å) after each atom.
Space group R-3m (No. 166, hexagonal axes)
One atom of each set of equivalent atoms:
Sr 0.0000 0.0000 0.1384  4 Tc 2.99-3.19, 4 Sr 3.12-3.16
Tc 0.0000 0.0000 0.4036  1 Tc 2.17

=====

# 8
The following is a DFT calculation (PBEsol) of a relaxed SrTc crystal.

Summary:
VASP energy: -3.88 eV/atom
Total moment: 11.999 Bohr magnetons per cell
E above lowest polymorph: 2114 meV/atom
ΔE_f: 2.68 eV/atom

Cell: 6.7067 6.7067 6.7067 Å, 90.00 90.00 90.00°
With the nearest neighbours (Å) after each atom.
Space group F-43m (No. 216)
One atom of each set of equivalent atoms:
Sr 0.0000 0.0000 0.0000  4 Tc 2.90
Tc 0.2500 0.2500 0.2500  4 Sr 2.90

=====

# 9
The following is a DFT calculation (PBEsol) of a relaxed SrTc crystal.

Summary:
VASP energy: -5.17 eV/atom
Total moment: 0.790 Bohr magnetons per cell
E above lowest polymorph: 819 meV/atom
ΔE_f: 1.38 eV/atom

Cell: 3.0639 3.0639 15.4578 Å, 90.00 90.00 120.00°
With the nearest neighbours (Å) after each atom.
Space group R-3m (No. 166, hexagonal axes)
One atom of each set of equivalent atoms:
Sr 0.0000 0.0000 0.0000  6 Sr 3.06, 6 Tc 3.13
Tc 0.0000 0.0000 0.5000  6 Tc 3.06, 6 Sr 3.13

=====

# 10
The following is a DFT calculation (PBEsol) of a relaxed SrTc crystal.

Summary:
VASP energy: -5.43 eV/atom
Total moment: 0.021 Bohr magnetons per cell
E above lowest polymorph: 564 meV/atom
ΔE_f: 1.13 eV/atom

Cell: 6.9758 6.9758 6.9758 Å, 90.00 90.00 90.00°
With the nearest neighbours (Å) after each atom.
Space group Fd-3m (No. 227, origin choice 2)
One atom of each set of equivalent atoms:
Sr 0.1250 0.1250 0.1250  4 Tc 3.02, 4 Sr 3.02
Tc 0.1250 0.1250 0.6250  4 Sr 3.02, 4 Tc 3.02

=====

# 11
The following is a DFT calculation (PBEsol) of a relaxed Sr2Tc crystal.

Summary:
VASP energy: -4.13 eV/atom
Total moment: 3.279 Bohr magnetons per cell
E above lowest polymorph: 0 meV/atom
ΔE_f: 0.85 eV/atom

Cell: 3.5662 3.5662 14.7584 Å, 90.00 90.00 90.00°
With the nearest neighbours (Å) after each atom.
Space group I4/mmm (No. 139)
One atom of each set of equivalent atoms:
Sr 0.0000 0.0000 0.1273  4 Tc 3.14
Tc 0.0000 0.0000 0.5000  8 Sr 3.14

=====

# 12
The following is a DFT calculation (PBEsol) of a relaxed SrTc3 crystal.

Summary:
VASP energy: -8.23 eV/atom
Total moment: 0.001 Bohr magnetons per cell
E above lowest polymorph: 0 meV/atom
ΔE_f: 0.68 eV/atom

Cell: 9.2709 3.0182 5.7800 Å, 90.00 104.32 90.00°
With the nearest neighbours (Å) after each atom.
Space group C2/m (No. 12)
One atom of each set of equivalent atoms:
Sr 0.0000 0.0000 0.0000  2 Sr 3.02, 10 Tc 3.17-3.28
Tc 0.0000 0.5000 0.5000  4 Tc 2.47
Tc 0.2142 0.0000 0.6496  4 Tc 2.47-2.50

=====

# 13
The following is a DFT calculation (PBEsol) of a relaxed SrTc3 crystal.

Summary:
VASP energy: -8.06 eV/atom
Total moment: 0.001 Bohr magnetons per cell
E above lowest polymorph: 170 meV/atom
ΔE_f: 0.85 eV/atom

Cell: 3.0048 5.0147 9.3723 Å, 90.00 90.00 90.00°
With the nearest neighbours (Å) after each atom.
Space group Immm (No. 71)
One atom of each set of equivalent atoms:
Sr 0.0000 0.0000 0.0000  12 Tc 2.92-3.21, 2 Sr 3.00
Tc 0.0000 0.0000 0.5000  4 Tc 2.51
Tc 0.0000 0.5000 0.2144  2 Tc 2.51

=====

# 14
The following is a DFT calculation (PBEsol) of a relaxed SrTc3 crystal.

Summary:
VASP energy: -7.91 eV/atom
Total moment: 0.002 Bohr magnetons per cell
E above lowest polymorph: 322 meV/atom
ΔE_f: 1.00 eV/atom

Cell: 9.3387 9.3387 2.6501 Å, 90.00 90.00 120.00°
With the nearest neighbours (Å) after each atom.
Space group R-3m (No. 166, hexagonal axes)
One atom of each set of equivalent atoms:
Sr 0.0000 0.0000 0.0000  2 Sr 2.65, 6 Tc 2.84
Tc 0.0000 0.5000 0.0000  6 Tc 2.65-2.84, 2 Sr 2.84

=====

# 15
The following is a DFT calculation (PBEsol) of a relaxed Sr2Tc crystal.

Summary:
VASP energy: -3.84 eV/atom
Total moment: 5.814 Bohr magnetons per cell
E above lowest polymorph: 287 meV/atom
ΔE_f: 1.14 eV/atom

Cell: 7.3580 7.3580 7.3580 Å, 90.00 90.00 90.00°
With the nearest neighbours (Å) after each atom.
Space group Fm-3m (No. 225)
One atom of each set of equivalent atoms:
Sr 0.2500 0.2500 0.2500  4 Tc 3.19
Tc 0.0000 0.0000 0.0000  8 Sr 3.19

=====

# 16
The following is a DFT calculation (PBEsol) of a relaxed SrTc crystal.

Summary:
VASP energy: -5.99 eV/atom
Total moment: 0.000 Bohr magnetons per cell
E above lowest polymorph: 0 meV/atom
ΔE_f: 0.56 eV/atom

Cell: 3.7628 5.4023 10.1575 Å, 90.00 90.00 90.00°
With the nearest neighbours (Å) after each atom.
Space group Imma (No. 74)
One atom of each set of equivalent atoms:
Sr 0.0000 0.2500 0.1038  8 Tc 3.40-3.50, 6 Sr 3.43-3.76
Tc 0.0000 0.2500 0.6862  2 Tc 2.28

=====

# 17
The following is a DFT calculation (PBEsol) of a relaxed SrTcTe2 crystal.

Summary:
VASP energy: -5.34 eV/atom
Total moment: 1.672 Bohr magnetons per cell
E above lowest polymorph: 208 meV/atom

Cell: 3.5926 3.9196 14.4528 Å, 90.00 90.00 90.00°
With the nearest neighbours (Å) after each atom.
Space group Imm2 (No. 44)
One atom of each set of equivalent atoms:
Sr 0.0000 0.0000 0.0000  6 Te 3.19
Tc 0.0000 0.5000 0.7422  6 Te 2.66-2.83
Te 0.0000 0.0000 0.3781  2 Tc 2.66
Te 0.0000 0.5000 0.1742  4 Tc 2.83

=====

# 18
The following is a DFT calculation (PBEsol) of a relaxed SrTcTe2 crystal.

Summary:
VASP energy: -5.19 eV/atom
Total moment: 0.002 Bohr magnetons per cell
E above lowest polymorph: 358 meV/atom

Cell: 6.3815 6.3815 13.6968 Å, 90.00 90.00 90.00°
With the nearest neighbours (Å) after each atom.
Space group I-42d (No. 122)
One atom of each set of equivalent atoms:
Sr 0.0000 0.0000 0.0000  4 Te 3.19
Tc 0.0000 0.0000 0.5000  4 Te 2.56
Te 0.1612 0.2500 0.6250  2 Tc 2.56

=====

# 19
The following is a DFT calculation (PBEsol) of a relaxed SrTc2Te crystal.

Summary:
VASP energy: -6.66 eV/atom
Total moment: 0.001 Bohr magnetons per cell

Cell: 9.4430 3.8942 5.4722 Å, 90.00 108.42 90.00°
With the nearest neighbours (Å) after each atom.
Space group C2/m (No. 12)
One atom of each set of equivalent atoms:
Sr 0.0000 0.0000 0.0000  8 Tc 3.31-3.50, 4 Te 3.36
Tc 0.2252 0.0000 0.6012  2 Tc 2.36
Te 0.0000 0.5000 0.5000  6 Tc 2.81-2.82

=====

# 20
The following is a DFT calculation (PBEsol) of a relaxed SrTcTe2 crystal.

Summary:
VASP energy: -5.13 eV/atom
Total moment: 2.287 Bohr magnetons per cell
E above lowest polymorph: 416 meV/atom

Cell: 3.9223 3.9223 6.9564 Å, 90.00 90.00 90.00°
With the nearest neighbours (Å) after each atom.
Space group P4mm (No. 99)
One atom of each set of equivalent atoms:
Sr 0.0000 0.0000 0.0000  5 Te 3.15-3.20
Tc 0.5000 0.5000 0.3928  5 Te 2.73-2.81
Te 0.0000 0.0000 0.4603  4 Tc 2.81
Te 0.5000 0.5000 0.7850  1 Tc 2.73